Record 1
AcNdPuIn: relaxed, PBE.

Results
Formation energy from the elements = 0.0634 eV per atom

a b c (Å): 5.648 5.648 5.648
angles (deg): 60.00 60.00 60.00
Element x y z (fractional)
Ac 0.000 0.000 0.000
In 0.500 0.500 0.500
Nd 0.250 0.250 0.250
Pu 0.750 0.750 0.750

=====

Record 2
Li2NdEr: relaxed, PBE.

Results
Energy above the most stable polymorph in this dataset = 0 meV per atom
Formation energy from the elements = 0.1514 eV per atom

a b c (Å): 3.734 3.734 7.554
angles (deg): 90.00 90.00 90.00
Element x y z (fractional)
Li 0.000 0.000 0.757
Li 0.000 0.000 0.243
Nd 0.500 0.500 0.500
Er 0.500 0.500 0.000

=====

Record 3
WBrCl4: relaxed, PBE.

Results
Energy relative to the elements, uncorrected = -0.73 eV per atom
Energy above the most stable polymorph in this dataset = 0 meV per atom

a b c (Å): 10.840 14.166 6.942
angles (deg): 90.01 90.02 27.86
Element x y z (fractional)
W 0.949 0.074 0.997
W 0.051 0.426 0.497
Br 0.616 0.390 0.159
Br 0.383 0.110 0.659
Cl 0.889 0.204 0.719
Cl 0.111 0.296 0.219
Cl 0.169 0.477 0.337
Cl 0.831 0.023 0.837
Cl 0.012 0.942 0.275
Cl 0.987 0.558 0.775
Cl 0.630 0.663 0.512
Cl 0.370 0.837 0.012

=====

Record 4
Y2ZrSe: relaxed, PBE.

Results
Energy relative to the elements, uncorrected = -0.42 eV per atom

a b c (Å): 5.397 5.357 3.504
angles (deg): 90.00 90.00 90.00
Element x y z (fractional)
Se 0.000 0.500 0.500
Y 0.000 0.000 0.000
Y 0.500 0.500 0.000
Zr 0.500 0.000 0.500

=====

Record 5
Zn2MoCl: relaxed, PBE.

Results
Energy relative to the elements, uncorrected = 0.24 eV per atom
Energy above the most stable polymorph in this dataset = 161 meV per atom

a b c (Å): 6.052 4.955 2.877
angles (deg): 90.04 61.54 118.19
Element x y z (fractional)
Cl 0.000 0.500 0.500
Mo 0.500 0.500 0.000
Zn 0.000 0.000 0.000
Zn 0.500 0.000 0.500

=====

Record 6
Cs2VAg2Br6: relaxed, PBE.

Results
Energy relative to the elements, uncorrected = -0.96 eV per atom

a b c (Å): 8.115 8.115 8.266
angles (deg): 60.60 60.60 60.00
Element x y z (fractional)
Cs 0.767 0.767 0.700
Cs 0.233 0.233 0.300
V 0.000 0.000 0.000
Ag 0.417 0.417 0.748
Ag 0.583 0.583 0.252
Br 0.771 0.771 0.244
Br 0.214 0.771 0.244
Br 0.771 0.214 0.244
Br 0.229 0.786 0.756
Br 0.786 0.229 0.756
Br 0.229 0.229 0.756

=====

Record 7
BaMn2In: relaxed, PBE.

Results
Formation energy from the elements = 0.3189 eV per atom

a b c (Å): 4.722 4.722 6.411
angles (deg): 68.41 68.41 60.00
Element x y z (fractional)
Ba 0.250 0.250 0.250
In 0.750 0.750 0.750
Mn 0.056 0.056 0.833
Mn 0.444 0.444 0.667

=====

Record 8
K2PaBi3O12: relaxed, PBE.

Results
Energy relative to the elements, uncorrected = -1.34 eV per atom

a b c (Å): 8.037 8.037 8.037
angles (deg): 57.62 57.62 57.62
Element x y z (fractional)
K 0.598 0.598 0.598
K 0.402 0.402 0.402
Pa 0.000 0.000 0.000
Bi 0.500 0.000 0.000
Bi 0.000 0.500 0.000
Bi 0.000 0.000 0.500
O 0.332 0.332 0.914
O 0.936 0.936 0.318
O 0.318 0.936 0.936
O 0.914 0.332 0.332
O 0.936 0.318 0.936
O 0.332 0.914 0.332
O 0.668 0.668 0.086
O 0.064 0.064 0.682
O 0.682 0.064 0.064
O 0.086 0.668 0.668
O 0.064 0.682 0.064
O 0.668 0.086 0.668

=====

Record 9
Li2Ag3Au3: relaxed, PBE.

Results
Energy above the most stable polymorph in this dataset = 41 meV per atom
Formation energy from the elements = -0.1732 eV per atom

a b c (Å): 5.240 5.240 5.240
angles (deg): 94.00 94.00 86.00
Element x y z (fractional)
Li 0.242 0.242 0.758
Li 0.758 0.758 0.242
Ag 0.258 0.742 0.500
Ag 0.500 0.258 0.258
Ag 0.742 0.500 0.742
Au 0.248 0.752 0.000
Au 0.000 0.248 0.248
Au 0.752 0.000 0.752

=====

Record 10
NdHoTm2: relaxed, PBE.

Results
Energy above the most stable polymorph in this dataset = 106 meV per atom
Formation energy from the elements = 0.1150 eV per atom

a b c (Å): 5.651 5.651 5.651
angles (deg): 60.00 60.00 60.00
Element x y z (fractional)
Tm 0.250 0.250 0.250
Tm 0.750 0.750 0.750
Nd 0.500 0.500 0.500
Ho 0.000 0.000 0.000

=====

Record 11
Hf2TaNiH: relaxed, PBE.

Results
VASP energy = -41.553 eV for the cell shown

a b c (Å): 4.599 4.599 3.477
angles (deg): 90.00 90.00 90.00
Element x y z (fractional)
Ni 0.000 0.000 0.500
Hf 0.000 0.500 0.000
Hf 0.500 0.000 0.000
H 0.000 0.000 0.000
Ta 0.500 0.500 0.500

=====

Record 12
Zn2Pd5Au4: relaxed, PBE.

Results
Formation energy from the elements = -0.1681 eV per atom

a b c (Å): 2.835 7.126 9.120
angles (deg): 86.54 98.94 90.00
Element x y z (fractional)
Zn 0.435 0.350 0.871
Zn 0.565 0.650 0.129
Pd 0.817 0.453 0.634
Pd 0.183 0.547 0.366
Pd 0.871 0.082 0.743
Pd 0.500 0.000 0.000
Pd 0.129 0.918 0.257
Au 0.236 0.180 0.472
Au 0.931 0.700 0.863
Au 0.764 0.820 0.528
Au 0.069 0.300 0.137

=====

Record 13
CsGe6Au8: relaxed, PBE.

Results
Formation energy from the elements = 0.0581 eV per atom

a b c (Å): 6.987 6.987 6.987
angles (deg): 76.56 76.56 76.56
Element x y z (fractional)
Cs 0.000 0.000 0.000
Ge 0.195 0.359 0.577
Ge 0.423 0.805 0.641
Ge 0.641 0.423 0.805
Ge 0.359 0.577 0.195
Ge 0.577 0.195 0.359
Ge 0.805 0.641 0.423
Au 0.214 0.525 0.881
Au 0.119 0.786 0.475
Au 0.475 0.119 0.786
Au 0.778 0.778 0.778
Au 0.222 0.222 0.222
Au 0.525 0.881 0.214
Au 0.881 0.214 0.525
Au 0.786 0.475 0.119

=====

Record 14
HoRu3C: relaxed, PBE.

Results
Formation energy from the elements = -0.2266 eV per atom

a b c (Å): 4.155 4.155 4.155
angles (deg): 90.00 90.00 90.00
Element x y z (fractional)
Ru 0.000 0.500 0.500
Ru 0.500 0.000 0.500
Ru 0.500 0.500 0.000
C 0.500 0.500 0.500
Ho 0.000 0.000 0.000

=====

Record 15
Sn2PdSe2: relaxed, PBE.

Results
Energy relative to the elements, uncorrected = -0.15 eV per atom

a b c (Å): 7.518 7.518 4.284
angles (deg): 90.00 90.00 90.00
Element x y z (fractional)
Se 0.322 0.822 0.000
Se 0.822 0.678 0.000
Se 0.678 0.178 0.000
Se 0.178 0.322 0.000
Sn 0.154 0.654 0.500
Sn 0.654 0.846 0.500
Sn 0.846 0.346 0.500
Sn 0.346 0.154 0.500
Pd 0.000 0.000 0.000
Pd 0.500 0.500 0.000